# 1
First-principles (GGA-PBE) data for Tb4TcAg after structural relaxation, as listed in the Alexandria database.

magnetization = 0.0000 μB per atom
ΔH_f (0 K) = 1.68 kJ/mol of atoms
distance to the lowest polymorph of the same formula = 0.1893 eV/atom

Lattice parameters (Å, degrees): 6.9320 6.9320 7.0983 90.00 90.07 90.00
With the nearest neighbours (Å) after each atom.
Space group C2/m (No. 12)
Symmetry-distinct sites (fractional):
Tb 0.2497 0.2502 0.2325 x8  2 Tc 2.95-2.96, 2 Ag 3.10, 1 Tb 3.30
Tc 0.0000 0.0000 0.0000 x2  8 Tb 2.95-2.96
Ag 0.0000 0.5000 0.5000 x2  8 Tb 3.10

# 2
First-principles (GGA-PBE) data for CsTc2HgO8 after structural relaxation, as listed in the Alexandria database.

magnetization = 0.0000 μB per atom
formation energy from raw total energies = -1334 meV/atom

Lattice parameters (Å, degrees): 11.1694 6.1652 7.8232 90.00 115.85 90.00
With the nearest neighbours (Å) after each atom.
Space group C2/m (No. 12)
Symmetry-distinct sites (fractional):
Cs 0.0000 0.0000 0.0000 x2  2 O 3.05
Tc 0.2177 0.0000 0.6768 x4  4 O 1.74-1.76
Hg 0.0000 0.5000 0.5000 x2  4 O 2.54
O 0.1090 0.5000 0.2228 x4  1 Tc 1.74
O 0.1575 0.2341 0.7422 x8  1 Tc 1.76
O 0.1580 0.0000 0.4314 x4  1 Tc 1.74

# 3
First-principles (GGA-PBE) data for ScCdMo after structural relaxation, as listed in the Alexandria database.

magnetization = 0.0000 μB per atom
ΔH_f (0 K) = 27.62 kJ/mol of atoms
distance to the lowest polymorph of the same formula = 0.1447 eV/atom

Lattice parameters (Å, degrees): 4.9048 4.9048 2.7426 90.00 90.00 120.00
With the nearest neighbours (Å) after each atom.
Space group P3m1 (No. 156)
Symmetry-distinct sites (fractional):
Sc 0.0000 0.0000 0.0000 x1  2 Sc 2.74, 3 Cd 2.99, 3 Mo 3.03
Cd 0.3333 0.6667 0.3538 x1  2 Cd 2.74, 3 Mo 2.92, 3 Sc 2.99
Mo 0.6667 0.3333 0.6098 x1  2 Mo 2.74, 3 Cd 2.92, 3 Sc 3.03

# 4
First-principles (GGA-PBE) data for ZrPRu2 after structural relaxation, as listed in the Alexandria database.

magnetization = 0.0000 μB per atom
ΔH_f (0 K) = -33.39 kJ/mol of atoms

Lattice parameters (Å, degrees): 3.0476 3.9324 5.4004 90.00 104.01 90.00
With the nearest neighbours (Å) after each atom.
Space group P2/m (No. 10)
Symmetry-distinct sites (fractional):
Zr 0.0000 0.0000 0.0000 x1  2 P 2.76, 8 Ru 2.87-2.90, 2 Zr 3.05
P 0.5000 0.0000 0.5000 x1  4 Ru 2.39
Ru 0.3701 0.5000 0.7221 x2  2 P 2.39

# 5
First-principles (GGA-PBE) data for YFeAg2 after structural relaxation, as listed in the Alexandria database.

magnetization = 0.5530 μB per atom
ΔH_f (0 K) = 25.28 kJ/mol of atoms

Lattice parameters (Å, degrees): 5.7188 8.0997 3.3711 90.00 90.00 90.00
With the nearest neighbours (Å) after each atom.
Space group Cmmm (No. 65)
Symmetry-distinct sites (fractional):
Y 0.0000 0.0000 0.0000 x2  2 Fe 2.86, 8 Ag 3.00
Fe 0.0000 0.5000 0.0000 x2  2 Y 2.86, 8 Ag 3.00
Ag 0.2500 0.2500 0.5000 x4  2 Ag 2.86, 4 Fe 3.00, 4 Y 3.00

# 6
First-principles (GGA-PBE) data for CuTc2PBr after structural relaxation, as listed in the Alexandria database.

magnetization = 0.7002 μB per atom
formation energy from raw total energies = 774 meV/atom

Lattice parameters (Å, degrees): 4.5754 4.5754 4.3697 90.00 90.00 90.00
With the nearest neighbours (Å) after each atom.
Space group P4/mmm (No. 123)
Symmetry-distinct sites (fractional):
Cu 0.0000 0.0000 0.0000 x1  2 P 2.18
Tc 0.0000 0.5000 0.5000 x2  2 P 2.29
P 0.0000 0.0000 0.5000 x1  2 Cu 2.18, 4 Tc 2.29
Br 0.5000 0.5000 0.0000 x1  8 Tc 3.16, 4 Cu 3.24

# 7
First-principles (GGA-PBE) data for CaOsRu after structural relaxation, as listed in the Alexandria database.

magnetization = 0.0000 μB per atom
ΔH_f (0 K) = 8.73 kJ/mol of atoms
distance to the lowest polymorph of the same formula = 0.0000 eV/atom

Lattice parameters (Å, degrees): 5.3634 5.3634 38.8790 90.00 90.00 120.00
With the nearest neighbours (Å) after each atom.
Space group R-3m (No. 166, hexagonal axes)
Symmetry-distinct sites (fractional):
Ca 0.0000 0.0000 0.0411 x6  3 Ru 3.12, 9 Os 3.12-3.17, 4 Ca 3.19-3.29
Ca 0.0000 0.0000 0.1818 x6  9 Ru 3.10-3.11, 3 Os 3.15, 4 Ca 3.17-3.31
Ca 0.0000 0.0000 0.2633 x6  6 Os 3.13, 6 Ru 3.13, 4 Ca 3.17-3.29
Os 0.0000 0.0000 0.3921 x6  3 Ru 2.61, 3 Os 2.76
Os 0.0000 0.0000 0.5000 x3  6 Ru 2.68
Os 0.0000 0.5000 0.0000 x9  6 Os 2.68-2.76
Ru 0.0127 0.5064 0.7783 x18  4 Ru 2.58-2.78, 2 Os 2.61-2.68

# 8
First-principles (GGA-PBE) data for K3NdTm2O6 after structural relaxation, as listed in the Alexandria database.

magnetization = 0.0000 μB per atom
formation energy from raw total energies = -2740 meV/atom

Lattice parameters (Å, degrees): 6.0570 10.4929 6.5843 90.00 107.85 90.00
With the nearest neighbours (Å) after each atom.
Space group C2/m (No. 12)
Symmetry-distinct sites (fractional):
K 0.0000 0.0000 0.0000 x2  6 O 2.76-2.86
K 0.0000 0.3316 0.0000 x4  6 O 2.75-2.87
Nd 0.0000 0.5000 0.5000 x2  6 O 2.41
Tm 0.0000 0.1667 0.5000 x4  6 O 2.29
O 0.2141 0.0000 0.6855 x4  2 Tm 2.29, 1 Nd 2.41
O 0.2356 0.3261 0.6851 x8  2 Tm 2.29, 1 Nd 2.41

# 9
First-principles (GGA-PBE) data for PmSmSbTe after structural relaxation, as listed in the Alexandria database.

magnetization = 0.0240 μB per atom
distance to the lowest polymorph of the same formula = 0.2555 eV/atom
formation energy from raw total energies = -1077 meV/atom

Lattice parameters (Å, degrees): 7.7330 7.7330 7.7330 90.00 90.00 90.00
With the nearest neighbours (Å) after each atom.
Space group F-43m (No. 216)
Symmetry-distinct sites (fractional):
Pm 0.0000 0.0000 0.0000 x4  4 Sb 3.35, 4 Te 3.35
Sm 0.0000 0.0000 0.5000 x4  4 Te 3.35, 4 Sb 3.35
Sb 0.2500 0.2500 0.7500 x4  4 Sm 3.35, 4 Pm 3.35
Te 0.2500 0.2500 0.2500 x4  4 Pm 3.35, 4 Sm 3.35

# 10
First-principles (GGA-PBE) data for Li3POs after structural relaxation, as listed in the Alexandria database.

magnetization = 0.3218 μB per atom
ΔH_f (0 K) = 119.81 kJ/mol of atoms
distance to the lowest polymorph of the same formula = 0.4160 eV/atom

Lattice parameters (Å, degrees): 4.6602 4.6602 4.6602 90.00 90.00 90.00
With the nearest neighbours (Å) after each atom.
Space group Pm-3m (No. 221)
Symmetry-distinct sites (fractional):
Li 0.0000 0.0000 0.5000 x3  2 Os 2.33
P 0.5000 0.5000 0.5000 x1  12 Li 3.30
Os 0.0000 0.0000 0.0000 x1  6 Li 2.33

# 11
First-principles (GGA-PBE) data for Tb3Ga4Pd4 after structural relaxation, as listed in the Alexandria database.

magnetization = 0.0000 μB per atom
ΔH_f (0 K) = -79.22 kJ/mol of atoms
distance to the lowest polymorph of the same formula = 0.0185 eV/atom

Lattice parameters (Å, degrees): 3.6610 4.4591 26.4099 90.00 90.00 90.00
With the nearest neighbours (Å) after each atom.
Space group Immm (No. 71)
Symmetry-distinct sites (fractional):
Tb 0.0000 0.0000 0.0000 x2  4 Pd 3.11, 8 Ga 3.16
Tb 0.0000 0.5000 0.1441 x4  6 Ga 3.12-3.14, 6 Pd 3.16-3.17
Ga 0.0000 0.0000 0.4514 x4  2 Pd 2.55, 1 Ga 2.57
Ga 0.0000 0.5000 0.3086 x4  5 Pd 2.53-2.60
Pd 0.0000 0.0000 0.2577 x4  4 Ga 2.53-2.60
Pd 0.0000 0.5000 0.4048 x4  3 Ga 2.54-2.55

# 12
First-principles (GGA-PBE) data for Ba12Tl6Ga after structural relaxation, as listed in the Alexandria database.

magnetization = 0.0001 μB per atom
ΔH_f (0 K) = -14.92 kJ/mol of atoms

Lattice parameters (Å, degrees): 15.5269 15.5269 14.4703 90.00 90.00 120.00
With the nearest neighbours (Å) after each atom.
Space group R-3 (No. 148, hexagonal axes)
Symmetry-distinct sites (fractional):
Ba 0.0349 0.8147 0.3986 x18  4 Tl 3.49-3.69
Ba 0.0468 0.8417 0.8887 x18  1 Ga 3.31, 2 Tl 3.59-3.60
Tl 0.0514 0.7858 0.6485 x18  7 Ba 3.49-3.87
Ga 0.0000 0.0000 0.0000 x3  6 Ba 3.31